Tm2CS after structural relaxation, computed with PBE-GGA.

a b c (Å): 3.653 3.653 6.597
angles (deg): 73.92 73.92 60.00
Positions (direct):
S 0.000 0.000 0.000
Tm 0.237 0.237 0.290
Tm 0.763 0.763 0.710
C 0.500 0.500 0.500

Summary:
**Energy relative to the elements, uncorrected**: -1.333 eV/atom
**Electronic total energy**: -6.91 eV/atom
**V**: 72.3 Å³ per cell
**Size of the total moment**: 0.0 Bohr magnetons per cell



LiPmPuFe after structural relaxation, computed with PBE-GGA.

a b c (Å): 4.921 4.921 4.921
angles (deg): 60.00 60.00 60.00
Positions (direct):
Pm 0.250 0.250 0.250
Li 0.000 0.000 0.000
Fe 0.500 0.500 0.500
Pu 0.750 0.750 0.750

Summary:
**Energy of formation**: 0.233 eV per atom
**Electronic total energy**: -7.13 eV/atom
**V**: 84.3 Å³ per cell
**Size of the total moment**: 4.9 Bohr magnetons per cell



Li4Mg3Ag after structural relaxation, computed with PBE-GGA.

a b c (Å): 4.622 4.622 7.744
angles (deg): 107.39 107.36 90.00
Positions (direct):
Mg 0.000 0.500 0.000
Mg 0.747 0.247 0.494
Mg 0.253 0.753 0.506
Ag 0.500 0.000 0.000
Li 0.383 0.383 0.765
Li 0.617 0.617 0.235
Li 0.117 0.118 0.235
Li 0.883 0.882 0.765

Summary:
**Energy of formation**: -0.099 eV per atom
**Electronic total energy**: -2.01 eV/atom
**V**: 150.0 Å³ per cell
**Size of the total moment**: 0.0 Bohr magnetons per cell



Sc2Te after structural relaxation, computed with PBE-GGA.

a b c (Å): 15.638 15.638 15.638
angles (deg): 164.36 164.36 22.19
Positions (direct):
Sc 0.753 0.753 0.000
Sc 0.247 0.247 0.000
Sc 0.003 0.503 0.500
Sc 0.497 0.997 0.500
Sc 0.585 0.585 0.000
Sc 0.415 0.415 0.000
Sc 0.835 0.335 0.500
Sc 0.665 0.165 0.500
Te 0.928 0.928 0.000
Te 0.072 0.072 0.000
Te 0.178 0.678 0.500
Te 0.322 0.822 0.500

Summary:
**Energy relative to the elements, uncorrected**: -0.640 eV/atom
**Electronic total energy**: -5.91 eV/atom
**V**: 277.8 Å³ per cell
**Size of the total moment**: 0.3 Bohr magnetons per cell



Cu2Br after structural relaxation, computed with PBE-GGA.

a b c (Å): 5.802 5.802 6.993
angles (deg): 60.04 60.04 34.08
Positions (direct):
Cu 0.158 0.158 0.623
Cu 0.749 0.749 0.780
Cu 0.251 0.251 0.220
Cu 0.842 0.842 0.377
Br 0.423 0.423 0.808
Br 0.577 0.577 0.192

Summary:
**Energy relative to the elements, uncorrected**: 0.156 eV/atom
**Electronic total energy**: -3.13 eV/atom
**V**: 112.5 Å³ per cell
**Size of the total moment**: 0.0 Bohr magnetons per cell



Co2HgSe after structural relaxation, computed with PBE-GGA.

a b c (Å): 3.599 3.620 5.212
angles (deg): 90.00 90.00 90.00
Positions (direct):
Co 0.000 0.750 0.017
Co 0.000 0.750 0.483
Hg 0.500 0.250 0.250
Se 0.500 0.750 0.750

Summary:
**Energy relative to the elements, uncorrected**: 0.348 eV/atom
**Electronic total energy**: -4.15 eV/atom
**V**: 67.9 Å³ per cell
**Size of the total moment**: 2.0 Bohr magnetons per cell



Sc2TePd9 after structural relaxation, computed with PBE-GGA.

a b c (Å): 4.023 4.023 12.165
angles (deg): 90.00 90.00 90.00
Positions (direct):
Sc 0.000 0.000 0.339
Sc 0.000 0.000 0.661
Te 0.000 0.000 0.000
Pd 0.500 0.500 0.000
Pd 0.500 0.500 0.334
Pd 0.500 0.500 0.666
Pd 0.500 0.000 0.171
Pd 0.500 0.000 0.500
Pd 0.500 0.000 0.829
Pd 0.000 0.500 0.171
Pd 0.000 0.500 0.500
Pd 0.000 0.500 0.829

Summary:
**Energy relative to the elements, uncorrected**: -0.628 eV/atom
**Electronic total energy**: -5.84 eV/atom
**V**: 196.9 Å³ per cell
**Size of the total moment**: 0.0 Bohr magnetons per cell



SmYPd4 after structural relaxation, computed with PBE-GGA.

a b c (Å): 5.476 5.476 5.476
angles (deg): 60.00 60.00 60.00
Positions (direct):
Y 0.250 0.250 0.250
Pd 0.625 0.625 0.125
Pd 0.625 0.125 0.625
Pd 0.625 0.625 0.625
Pd 0.125 0.625 0.625
Sm 0.000 0.000 0.000

Summary:
**Energy of formation**: -0.789 eV per atom
**Electronic total energy**: -6.11 eV/atom
**V**: 116.1 Å³ per cell
**Size of the total moment**: 0.0 Bohr magnetons per cell



CePr2Th3Te6 after structural relaxation, computed with PBE-GGA.

a b c (Å): 4.467 9.026 10.103
angles (deg): 104.56 102.77 90.00
Positions (direct):
Ce 0.500 0.000 0.000
Pr 0.834 0.664 0.669
Pr 0.166 0.336 0.331
Th 0.500 0.500 0.000
Th 0.831 0.160 0.662
Th 0.169 0.840 0.338
Te 0.335 0.914 0.670
Te 0.667 0.588 0.334
Te 0.665 0.086 0.330
Te 0.998 0.248 0.997
Te 0.002 0.752 0.003
Te 0.333 0.412 0.666

Summary:
**Energy relative to the elements, uncorrected**: -1.206 eV/atom
**Electronic total energy**: -5.92 eV/atom
**V**: 383.8 Å³ per cell
**Size of the total moment**: 1.1 Bohr magnetons per cell



Nd5PuBi6 after structural relaxation, computed with PBE-GGA.

a b c (Å): 7.967 7.968 7.966
angles (deg): 59.99 80.41 70.55
Positions (direct):
Nd 0.500 0.168 0.664
Nd 0.000 0.334 0.332
Nd 0.500 0.500 0.000
Nd 0.000 0.666 0.668
Nd 0.500 0.832 0.336
Pu 0.000 0.000 0.000
Bi 0.752 0.082 0.330
Bi 0.248 0.588 0.330
Bi 0.249 0.247 0.000
Bi 0.751 0.753 0.000
Bi 0.752 0.412 0.670
Bi 0.248 0.918 0.670

Summary:
**Energy of formation**: -0.841 eV per atom
**Electronic total energy**: -5.96 eV/atom
**V**: 412.9 Å³ per cell
**Size of the total moment**: 5.1 Bohr magnetons per cell



Ca2HfAsPb after structural relaxation, computed with PBE-GGA.

a b c (Å): 5.964 5.042 5.964
angles (deg): 90.00 90.00 90.00
Positions (direct):
Pb 0.500 0.500 0.500
As 0.000 0.500 0.000
Hf 0.000 0.000 0.000
Ca 0.000 0.000 0.500
Ca 0.500 0.000 0.000

Summary:
**Energy of formation**: 0.398 eV per atom
**Electronic total energy**: -4.07 eV/atom
**V**: 179.3 Å³ per cell
**Size of the total moment**: 0.0 Bohr magnetons per cell



ScCoRh2 after structural relaxation, computed with PBE-GGA.

a b c (Å): 8.657 8.657 8.657
angles (deg): 19.01 19.01 19.01
Positions (direct):
Co 0.748 0.748 0.748
Rh 0.005 0.005 0.005
Rh 0.248 0.248 0.248
Sc 0.499 0.499 0.499

Summary:
**Energy of formation**: 0.052 eV per atom
**Electronic total energy**: -6.98 eV/atom
**V**: 60.2 Å³ per cell
**Size of the total moment**: 2.1 Bohr magnetons per cell



Look up the size of the total moment of the fourth one. 0.3 Bohr magnetons per cell



Among the records above, which one has the lowest V? ScCoRh2



What is the size of the total moment in the ninth record? 1.1 Bohr magnetons per cell